# SrSi2Ni2

An optimized crystal structure of SrSi2Ni2 (PBE, Alexandria via LeMat-Bulk).

Calculated values
Energy relative to the elements, uncorrected, eV/atom: -0.1386
Calculated density, Mg/m³: 5.48
Energy, eV per atom: -4.96

Lattice parameters (Å, degrees): 7.495 7.495 2.820 90.00 90.00 90.00
Fractional coordinates of all 10 atoms:
Sr (0.000, 0.000, 0.000)
Sr (0.500, 0.500, 0.000)
Si (0.140, 0.640, 0.500)
Si (0.640, 0.860, 0.500)
Si (0.860, 0.360, 0.500)
Si (0.360, 0.140, 0.500)
Ni (0.377, 0.877, 0.000)
Ni (0.877, 0.623, 0.000)
Ni (0.623, 0.123, 0.000)
Ni (0.123, 0.377, 0.000)